TeRhBr: PBEsol geometry, meta-GGA SCAN.

a b c (Å): 4.5526 4.5526 4.5526
angles (deg): 60.00 60.00 60.00
Closest atoms and distances in Å follow each position.
Fractional coordinates of all 3 atoms:
Te: 0.0000 0.0000 0.0000  4 Rh 2.79
Rh: 0.2500 0.2500 0.2500  4 Br 2.79, 4 Te 2.79
Br: 0.5000 0.5000 0.5000  4 Rh 2.79

E_form (uncorrected) = 0.127 eV/atom
final energy = -90.10 eV per formula unit

---

Te2RhBr2: PBEsol geometry, meta-GGA SCAN.

a b c (Å): 3.7689 3.7689 9.5956
angles (deg): 101.33 101.33 90.00
Closest atoms and distances in Å follow each position.
Fractional coordinates of all 5 atoms:
Te: 0.5720 0.5720 0.1441  1 Te 2.66
Te: 0.4280 0.4280 0.8559  1 Te 2.66
Rh: 0.0000 0.0000 0.0000  8 Te 2.98
Br: 0.2500 0.7500 0.5000  4 Br 2.67
Br: 0.7500 0.2500 0.5000  4 Br 2.67

E_form (uncorrected) = 0.311 eV/atom
final energy = -145.64 eV per formula unit

---

Ti2RhBr: PBEsol geometry, meta-GGA SCAN.

a b c (Å): 4.4532 4.4532 4.4532
angles (deg): 60.00 60.00 60.00
Closest atoms and distances in Å follow each position.
Fractional coordinates of all 4 atoms:
Rh: 0.5000 0.5000 0.5000  8 Ti 2.73
Br: 0.0000 0.0000 0.0000  8 Ti 2.73
Ti: 0.2500 0.2500 0.2500  4 Rh 2.73, 4 Br 2.73
Ti: 0.7500 0.7500 0.7500  4 Br 2.73, 4 Rh 2.73

E_form (uncorrected) = -0.074 eV/atom
final energy = -85.59 eV per formula unit

---

RhW2Br: PBEsol geometry, meta-GGA SCAN.

a b c (Å): 2.9586 4.4807 4.8453
angles (deg): 99.58 90.00 90.00
Closest atoms and distances in Å follow each position.
Fractional coordinates of all 4 atoms:
Br: 0.5000 0.0000 0.5000  4 Rh 2.68, 4 W 2.84, 2 Br 2.96
Rh: 0.0000 0.5000 0.5000  4 Br 2.68, 4 W 2.84, 2 Rh 2.96
W: 0.0000 0.0000 0.0000  6 W 2.68-2.96, 4 Br 2.84
W: 0.5000 0.5000 0.0000  6 W 2.68-2.96, 4 Rh 2.84

E_form (uncorrected) = 1.049 eV/atom
final energy = -188.41 eV per formula unit
polymorph energy (0 for the lowest one) = 0.347 eV per atom

---

RhW2Br: PBEsol geometry, meta-GGA SCAN.

a b c (Å): 2.9773 2.9773 6.8517
angles (deg): 90.00 90.00 90.00
Closest atoms and distances in Å follow each position.
Fractional coordinates of all 4 atoms:
Br: 0.5000 0.5000 0.0000  8 W 2.72, 4 Br 2.98
Rh: 0.5000 0.5000 0.5000  8 W 2.71, 4 Rh 2.98
W: 0.0000 0.0000 0.7491  4 Rh 2.71, 4 Br 2.72, 4 W 2.98
W: 0.0000 0.0000 0.2509  4 Rh 2.71, 4 Br 2.72, 4 W 2.98

E_form (uncorrected) = 0.910 eV/atom
final energy = -188.97 eV per formula unit
polymorph energy (0 for the lowest one) = 0.208 eV per atom

---

RhW2Br: PBEsol geometry, meta-GGA SCAN.

a b c (Å): 2.8823 2.8823 8.8263
angles (deg): 80.60 80.60 60.00
Closest atoms and distances in Å follow each position.
Fractional coordinates of all 4 atoms:
Br: 0.5000 0.5000 0.5000  6 W 2.76, 6 Br 2.88
Rh: 0.0000 0.0000 0.0000  6 W 2.71, 6 Rh 2.88
W: 0.2513 0.2513 0.2461  3 Rh 2.71, 3 Br 2.76, 6 W 2.88
W: 0.7487 0.7487 0.7539  3 Rh 2.71, 3 Br 2.76, 6 W 2.88

E_form (uncorrected) = 0.703 eV/atom
final energy = -189.80 eV per formula unit
polymorph energy (0 for the lowest one) = 0.000 eV per atom

---

YRh2Br: PBEsol geometry, meta-GGA SCAN.

a b c (Å): 3.2133 3.9190 5.6672
angles (deg): 90.00 90.00 90.00
Closest atoms and distances in Å follow each position.
Fractional coordinates of all 4 atoms:
Y: 0.5000 0.5000 0.0000  2 Br 2.83, 8 Rh 2.91
Rh: 0.0000 0.0000 0.7482  2 Rh 2.81-2.85, 4 Br 2.90, 4 Y 2.91
Rh: 0.0000 0.0000 0.2518  2 Rh 2.81-2.85, 4 Br 2.90, 4 Y 2.91
Br: 0.5000 0.5000 0.5000  2 Y 2.83, 8 Rh 2.90

E_form (uncorrected) = -0.195 eV/atom
final energy = -115.62 eV per formula unit
polymorph energy (0 for the lowest one) = 0.000 eV per atom

---

YRh2Br: PBEsol geometry, meta-GGA SCAN.

a b c (Å): 3.3126 3.3126 8.1744
angles (deg): 78.29 78.29 60.03
Closest atoms and distances in Å follow each position.
Fractional coordinates of all 4 atoms:
Y: 0.5000 0.5000 0.5000  6 Rh 2.77
Rh: 0.2505 0.2505 0.2478  3 Br 2.74-2.75, 3 Y 2.77
Rh: 0.7493 0.7493 0.7522  3 Br 2.74-2.75, 3 Y 2.77
Br: 0.0000 0.0000 0.0000  6 Rh 2.74-2.75

E_form (uncorrected) = 0.065 eV/atom
final energy = -114.59 eV per formula unit
polymorph energy (0 for the lowest one) = 0.260 eV per atom

---

Look up the E_form (uncorrected) of the first one.
0.127 eV/atom